Compound: Cs2AlSb2Pb
Source: Alexandria via LeMat-Bulk
Functional: PBE
Structure: optimized geometry Values from VASP.

```
&SYSTEM
  ibrav = 0, nat = 12, ntyp = 4
/
ATOMIC_SPECIES
Sb 121.76 Sb.upf
Cs 132.91 Cs.upf
Pb 207.20 Pb.upf
Al 26.98 Al.upf
CELL_PARAMETERS angstrom
-2.3025 -6.2601 -3.0289
2.2810 -4.0015 6.5361
-7.5893 6.2972 1.6128
ATOMIC_POSITIONS angstrom
Sb -1.7400 -4.1081 0.9545
Sb -5.8708 0.1438 4.1655
Sb 0.3574 -2.6378 5.1800
Sb -7.9681 -1.3265 -0.0600
Cs -5.5455 1.7396 0.6201
Cs -2.0653 -5.7039 4.4999
Cs -5.5867 -3.3377 2.2864
Cs -2.0241 -0.6266 2.8336
Pb -1.7268 -4.6951 -2.2717
Pb -0.5756 -1.5650 -0.7572
Al -0.5864 -6.6958 0.9964
Al 0.5649 -3.5657 2.5108
```

Properties
Crystal system: orthorhombic
Magnetization (Bohr magnetons per cell): 0.0
Volume (Å³/atom): 40.972
DOS(E_F) (states/eV/cell): 3.7
Energy (eV per atom): -3.20
SG: No. 72
Formation energy from raw total energies (eV per atom): -0.30